VASP calculation (PBE-GGA) on a geometry-optimized Li2CaOs structure.

- E above lowest polymorph (kcal/mol of atoms) = 2.22
- space-group type = No. 8
- spin magnetization (μB/f.u.) = 0.1
- ΔE_f (eV per atom) = 0.43

```
Li2CaOs
1.0
4.739 0.021 -0.012
3.970 2.587 -0.012
0.402 0.121 6.229
Li Ca Os
2 1 1
Direct
0.754 0.754 0.735
0.007 0.007 0.928
0.242 0.242 0.292
0.497 0.497 0.545
```

VASP calculation (PBE-GGA) on a geometry-optimized Be2AgTe structure.

- space-group type = No. 35
- spin magnetization (μB/f.u.) = 0.0
- ΔE_f (raw) (eV per atom) = 0.445

```
Be2AgTe
1.0
-3.717 0.922 0.899
2.512 -1.056 2.837
1.640 5.890 0.741
Te Ag Be
1 1 2
Direct
0.000 0.000 0.432
0.500 0.500 0.828
0.500 0.500 0.203
0.000 0.000 0.037
```

VASP calculation (PBE-GGA) on a geometry-optimized Cs2AcP2O6 structure.

- space-group type = No. 12
- spin magnetization (μB/f.u.) = 1.0
- ΔE_f (raw) (eV per atom) = -2.284

```
Cs2AcP2O6
1.0
6.129 0.000 0.000
-3.064 5.218 -0.290
0.000 -3.249 7.374
O Ac Cs P
6 1 2 2
Direct
0.763 0.525 0.734
0.255 0.088 0.313
0.237 0.475 0.266
0.833 0.088 0.313
0.745 0.912 0.687
0.167 0.912 0.687
0.500 0.000 0.500
0.719 0.438 0.149
0.281 0.562 0.851
0.072 0.145 0.220
0.928 0.855 0.780
```

VASP calculation (PBE-GGA) on a geometry-optimized ZrRu2 structure.

- space-group type = No. 141
- spin magnetization (μB/f.u.) = 0.0
- ΔE_f (eV per atom) = 0.05

```
ZrRu2
1.0
-5.422 4.785 3.586
-7.295 3.216 -1.263
5.203 -6.172 -0.013
Ru Zr
4 2
Direct
0.577 0.577 0.000
0.327 0.827 0.500
0.423 0.423 0.000
0.173 0.673 0.500
0.000 0.000 0.000
0.750 0.250 0.500
```

VASP calculation (PBE-GGA) on a geometry-optimized CuAs structure.

- space-group type = No. 12
- spin magnetization (μB/f.u.) = 0.0
- ΔE_f (eV per atom) = 0.09

```
CuAs
1.0
-3.793 -0.629 1.923
-2.975 -3.049 0.577
3.770 -1.267 4.571
As Cu
2 2
Direct
0.147 0.147 0.342
0.103 0.103 0.908
0.803 0.803 0.759
0.447 0.447 0.491
```

VASP calculation (PBE-GGA) on a geometry-optimized Pm2HoSb structure.

- E above lowest polymorph (kcal/mol of atoms) = 0.00
- space-group type = No. 63
- spin magnetization (μB/f.u.) = 0.0
- ΔE_f (raw) (eV per atom) = -0.549

```
Pm2HoSb
1.0
4.139 0.000 0.000
-2.070 6.115 0.000
0.000 0.000 9.948
Pm Sb Ho
4 2 2
Direct
0.363 0.726 0.956
0.363 0.726 0.544
0.637 0.274 0.044
0.637 0.274 0.456
0.758 0.517 0.750
0.242 0.483 0.250
0.063 0.126 0.750
0.937 0.874 0.250
```

VASP calculation (PBE-GGA) on a geometry-optimized YClF2 structure.

- E above lowest polymorph (kcal/mol of atoms) = 7.71
- space-group type = No. 122
- spin magnetization (μB/f.u.) = 0.0
- ΔE_f (raw) (eV per atom) = -3.137

```
YClF2
1.0
-0.583 2.741 3.941
-4.800 -0.358 -0.461
-2.648 -4.582 5.761
F Cl Y
4 2 2
Direct
0.904 0.625 0.250
0.375 0.154 0.750
0.875 0.096 0.750
0.846 0.125 0.250
0.500 0.500 0.000
0.250 0.750 0.500
0.000 0.000 0.000
0.750 0.250 0.500
```

VASP calculation (PBE-GGA) on a geometry-optimized CaMnCl2 structure.

- E above lowest polymorph (kcal/mol of atoms) = 5.75
- space-group type = No. 122
- spin magnetization (μB/f.u.) = 3.3
- ΔE_f (raw) (eV per atom) = -0.746

```
CaMnCl2
1.0
5.890 0.000 0.000
0.000 5.890 0.000
2.945 2.945 6.166
Mn Cl Ca
2 4 2
Direct
0.000 0.000 0.000
0.750 0.250 0.500
0.080 0.625 0.250
0.375 0.330 0.750
0.670 0.125 0.250
0.875 0.920 0.750
0.250 0.750 0.500
0.500 0.500 0.000
```